LiTbThMg PBE relaxed; DFT formation energy = 12.7 kJ/mol of atoms; Fermi-level density of states = 3.980 states/eV/f.u.; final energy = -15.0 eV/cell
1.0
-3.0011 -4.4188 0.0049
0.8834 -3.8245 3.6229
-3.5282 -0.8279 3.9242
Mg Tb Li Th
1 1 1 1
direct
0.5000 0.5000 0.5000
0.7500 0.7500 0.7500
0.0000 0.0000 0.0000
0.2500 0.2500 0.2500

=====

LiTb2MgTl4 PBE relaxed; DFT formation energy = -26.2 kJ/mol of atoms; Fermi-level density of states = 2.828 states/eV/f.u.; final energy = -24.4 eV/cell
1.0
5.2400 0.0000 0.0000
2.6200 4.5380 0.0000
2.6200 1.5127 8.5278
Tl Tb Mg Li
4 2 1 1
direct
0.3777 0.3777 0.8669
0.6223 0.6223 0.1331
0.1272 0.1272 0.6183
0.8728 0.8728 0.3817
0.7483 0.7483 0.7550
0.2517 0.2517 0.2450
0.0000 0.0000 0.0000
0.5000 0.5000 0.5000

=====

Li2TbMgTl4 PBE relaxed; DFT formation energy = -21.8 kJ/mol of atoms; Fermi-level density of states = 2.050 states/eV/f.u.; final energy = -21.3 eV/cell
1.0
5.0888 0.0000 0.0000
2.5444 4.4070 0.0000
2.5444 1.4690 8.6003
Tb Tl Mg Li
1 4 1 2
direct
0.0000 0.0000 0.0000
0.1262 0.1262 0.6214
0.3791 0.3791 0.8627
0.6209 0.6209 0.1373
0.8738 0.8738 0.3786
0.5000 0.5000 0.5000
0.7502 0.7502 0.7493
0.2498 0.2498 0.2507

=====

LiTbMg2Tl4 PBE relaxed; DFT formation energy = -19.2 kJ/mol of atoms; Fermi-level density of states = 3.055 states/eV/f.u.; final energy = -20.8 eV/cell
1.0
-0.6933 -4.7622 1.8007
2.2041 -1.4222 4.4182
-6.4306 0.5772 6.3816
Mg Tl Li Tb
2 4 1 1
direct
0.2507 0.2507 0.2480
0.7493 0.7493 0.7520
0.3819 0.3819 0.8544
0.6181 0.6181 0.1456
0.1293 0.1293 0.6120
0.8707 0.8707 0.3880
0.5000 0.5000 0.5000
0.0000 0.0000 0.0000

=====

LiTbTmMg PBE relaxed; DFT formation energy = 5.0 kJ/mol of atoms; Fermi-level density of states = 5.883 states/eV/f.u.; final energy = -12.4 eV/cell
1.0
-1.9368 -0.8413 -4.8504
-2.2455 -4.6415 -1.1832
-5.2290 -0.2949 -0.7457
Tb Mg Tm Li
1 1 1 1
direct
0.7500 0.7500 0.7500
0.5000 0.5000 0.5000
0.2500 0.2500 0.2500
0.0000 0.0000 0.0000

=====

LiTbYMg PBE relaxed; DFT formation energy = 2.8 kJ/mol of atoms; Fermi-level density of states = 5.975 states/eV/f.u.; final energy = -14.5 eV/cell
1.0
-0.6937 1.7004 -5.0039
0.9197 -3.2963 -4.0866
-4.0713 -1.8474 -2.9023
Tb Mg Y Li
1 1 1 1
direct
0.2500 0.2500 0.2500
0.5000 0.5000 0.5000
0.7500 0.7500 0.7500
0.0000 0.0000 0.0000

=====

Li2TbY2Mg5 PBE relaxed; DFT formation energy = -3.6 kJ/mol of atoms; Fermi-level density of states = 7.878 states/eV/f.u.; final energy = -59.5 eV/cell
1.0
4.4223 0.0000 0.0000
0.0000 10.5707 0.0000
0.0000 0.0000 10.5707
Mg Y Li Tb
10 4 4 2
direct
0.5000 0.4365 0.2858
0.5000 0.7858 0.9365
0.5000 0.9365 0.2142
0.5000 0.2858 0.5635
0.5000 0.5635 0.7142
0.5000 0.0000 0.5000
0.5000 0.2142 0.0635
0.5000 0.0635 0.7858
0.5000 0.7142 0.4365
0.5000 0.5000 0.0000
0.0000 0.3202 0.8202
0.0000 0.1798 0.3202
0.0000 0.6798 0.1798
0.0000 0.8202 0.6798
0.0000 0.8853 0.3853
0.0000 0.1147 0.6147
0.0000 0.3853 0.1147
0.0000 0.6147 0.8853
0.0000 0.5000 0.5000
0.0000 0.0000 0.0000

=====

Li2Tb2YMg5 PBE relaxed; DFT formation energy = -3.1 kJ/mol of atoms; Fermi-level density of states = 7.915 states/eV/f.u.; final energy = -55.7 eV/cell
1.0
4.4225 0.0000 0.0000
0.0000 10.5763 0.0000
0.0000 0.0000 10.5763
Y Mg Li Tb
2 10 4 4
direct
0.0000 0.5000 0.5000
0.0000 0.0000 0.0000
0.5000 0.7860 0.9362
0.5000 0.5000 0.0000
0.5000 0.2860 0.5638
0.5000 0.0000 0.5000
0.5000 0.0638 0.7860
0.5000 0.9362 0.2140
0.5000 0.7140 0.4362
0.5000 0.2140 0.0638
0.5000 0.4362 0.2860
0.5000 0.5638 0.7140
0.0000 0.6151 0.8849
0.0000 0.1151 0.6151
0.0000 0.3849 0.1151
0.0000 0.8849 0.3849
0.0000 0.8204 0.6796
0.0000 0.1796 0.3204
0.0000 0.6796 0.1796
0.0000 0.3204 0.8204

=====

LiMgTc2 PBE relaxed; DFT formation energy = 22.9 kJ/mol of atoms; Fermi-level density of states = 2.020 states/eV/f.u.; final energy = -23.3 eV/cell
1.0
-2.2252 -2.3287 4.1545
1.0202 -2.6486 -4.4247
2.1784 -1.1341 0.8663
Mg Tc Li
1 2 1
direct
0.0000 0.5000 0.5000
0.0000 0.0000 0.0000
0.5000 0.5000 0.0000
0.5000 0.0000 0.5000

=====

LiMgTc2 PBE relaxed; DFT formation energy = 8.6 kJ/mol of atoms; Fermi-level density of states = 4.319 states/eV/f.u.; final energy = -23.9 eV/cell
1.0
-2.4445 0.7756 -1.7316
-1.8641 -1.5009 1.9593
-0.7447 5.5321 3.5292
Tc Li Mg
2 1 1
direct
0.0000 0.0000 0.0374
0.5000 0.5000 0.2302
0.0000 0.0000 0.4815
0.5000 0.5000 0.7509

=====

LiMgTc2 PBE relaxed; DFT formation energy = 24.7 kJ/mol of atoms; Fermi-level density of states = 2.067 states/eV/f.u.; final energy = -23.2 eV/cell
1.0
2.6291 0.0000 0.0000
0.0000 4.5463 0.0000
0.0000 0.0000 5.0160
Li Mg Tc
1 1 2
direct
0.5000 0.5000 0.2500
0.5000 0.5000 0.7500
0.0000 0.0000 0.4959
0.0000 0.0000 0.0041

=====

LiMgTc2 PBE relaxed; DFT formation energy = 18.1 kJ/mol of atoms; Fermi-level density of states = 2.807 states/eV/f.u.; final energy = -23.5 eV/cell
1.0
4.5462 -0.0042 -0.0004
3.7387 2.5866 -0.0004
0.3397 0.1059 5.2091
Mg Tc Li
1 2 1
direct
0.2532 0.2532 0.2684
0.9971 0.9971 0.9617
0.7510 0.7510 0.7756
0.4987 0.4987 0.4943